# RbTlTe4As2

A geometry-optimized RbTlTe4As2 structure (PBE, Alexandria).

Calculated values
* uncorrected formation energy: -0.115 eV per atom
* Fermi-level density of states: 3.03 states/eV/cell
* raw total energy: -3.265 eV per atom

Cell: 8.127 7.041 7.041 Å, 65.02 54.75 54.75°
Fractional coordinates of all 8 atoms:
Rb (0.000, 0.000, 0.000)
Te (0.897, 0.543, 0.074)
As (0.840, 0.660, 0.660)
Te (0.486, 0.074, 0.543)
Te (0.514, 0.457, 0.926)
As (0.160, 0.340, 0.340)
Te (0.103, 0.926, 0.457)
Tl (0.500, 0.500, 0.500)

=====

# RbTeAs2W

A geometry-optimized RbTeAs2W structure (PBE, Alexandria).

Calculated values
* uncorrected formation energy: 0.078 eV per atom
* Fermi-level density of states: 3.72 states/eV/cell
* raw total energy: -5.195 eV per atom

Cell: 4.955 5.678 4.955 Å, 90.00 90.00 90.00°
Fractional coordinates of all 5 atoms:
Rb (0.500, 0.500, 0.500)
As (0.000, 0.000, 0.500)
Te (0.000, 0.500, 0.000)
W (0.000, 0.000, 0.000)
As (0.500, 0.000, 0.000)

=====

# RbZnTe3As

A geometry-optimized RbZnTe3As structure (PBE, Alexandria).

Calculated values
* uncorrected formation energy: -0.450 eV per atom
* raw total energy: -3.170 eV per atom

Cell: 4.312 9.842 10.610 Å, 110.32 90.00 90.00°
Fractional coordinates of all 12 atoms:
Zn (0.750, 0.918, 0.388)
Te (0.250, 0.532, 0.854)
Zn (0.250, 0.082, 0.612)
As (0.750, 0.335, 0.878)
Rb (0.750, 0.794, 0.750)
Rb (0.250, 0.206, 0.250)
Te (0.750, 0.468, 0.146)
Te (0.250, 0.791, 0.457)
Te (0.250, 0.133, 0.876)
Te (0.750, 0.867, 0.124)
Te (0.750, 0.209, 0.543)
As (0.250, 0.665, 0.122)

=====

# RbZnTe2As

A geometry-optimized RbZnTe2As structure (PBE, Alexandria).

Calculated values
* uncorrected formation energy: -0.020 eV per atom
* Fermi-level density of states: 2.75 states/eV/cell
* raw total energy: -2.655 eV per atom

Cell: 5.637 5.637 4.917 Å, 90.00 90.00 90.00°
Fractional coordinates of all 5 atoms:
Te (0.500, 0.000, 0.000)
Rb (0.500, 0.500, 0.500)
Zn (0.000, 0.000, 0.000)
As (0.000, 0.000, 0.500)
Te (0.000, 0.500, 0.000)

=====

# Rb3Th2UAs6

A geometry-optimized Rb3Th2UAs6 structure (PBE, Alexandria).

Calculated values
* energy of formation: -0.75 eV per atom
* Fermi-level density of states: 9.06 states/eV/cell
* raw total energy: -5.496 eV per atom

Cell: 7.573 7.573 8.401 Å, 98.65 98.65 120.00°
Fractional coordinates of all 12 atoms:
As (0.939, 0.626, 0.818)
Rb (0.500, 0.500, 0.500)
Th (0.334, 0.666, 0.000)
As (0.374, 0.061, 0.182)
Th (0.666, 0.334, 0.000)
As (0.626, 0.939, 0.818)
Rb (0.170, 0.830, 0.500)
U (0.000, 0.000, 0.000)
As (0.748, 0.748, 0.182)
As (0.061, 0.374, 0.182)
As (0.252, 0.252, 0.818)
Rb (0.830, 0.170, 0.500)

=====

# Rb2TiAs2

A geometry-optimized Rb2TiAs2 structure (PBE, Alexandria).

Calculated values
* energy of formation: -0.19 eV per atom
* Fermi-level density of states: 4.50 states/eV/cell
* raw total energy: -4.012 eV per atom
* E above lowest polymorph: 449.2 meV per atom

Cell: 6.959 6.959 5.898 Å, 90.00 90.00 90.00°
Fractional coordinates of all 10 atoms:
Ti (0.500, 0.500, 0.000)
Rb (0.829, 0.329, 0.500)
As (0.136, 0.364, 0.000)
Rb (0.671, 0.829, 0.500)
As (0.636, 0.136, 0.000)
Rb (0.329, 0.171, 0.500)
Ti (0.000, 0.000, 0.000)
As (0.864, 0.636, 0.000)
As (0.364, 0.864, 0.000)
Rb (0.171, 0.671, 0.500)

=====

# RbTiAs2

A geometry-optimized RbTiAs2 structure (PBE, Alexandria).

Calculated values
* energy of formation: 0.24 eV per atom
* Fermi-level density of states: 1.89 states/eV/cell
* raw total energy: -4.302 eV per atom
* E above lowest polymorph: 724.3 meV per atom

Cell: 5.028 5.028 5.028 Å, 60.00 60.00 60.00°
Fractional coordinates of all 4 atoms:
Rb (0.500, 0.500, 0.500)
Ti (0.000, 0.000, 0.000)
As (0.750, 0.750, 0.750)
As (0.250, 0.250, 0.250)

=====

# RbTi2As2

A geometry-optimized RbTi2As2 structure (PBE, Alexandria).

Calculated values
* energy of formation: -0.67 eV per atom
* Fermi-level density of states: 3.26 states/eV/cell
* raw total energy: -5.885 eV per atom
* E above lowest polymorph: 0.0 meV per atom

Cell: 4.307 4.307 7.810 Å, 73.99 73.99 90.00°
Fractional coordinates of all 5 atoms:
As (0.655, 0.655, 0.689)
Ti (0.750, 0.250, 0.500)
As (0.345, 0.345, 0.311)
Rb (0.000, 0.000, 0.000)
Ti (0.250, 0.750, 0.500)

=====

# Rb3TiAs2

A geometry-optimized Rb3TiAs2 structure (PBE, Alexandria).

Calculated values
* energy of formation: -0.49 eV per atom
* Fermi-level density of states: 5.37 states/eV/cell
* raw total energy: -3.838 eV per atom

Cell: 8.318 6.739 9.402 Å, 111.00 116.26 90.00°
Fractional coordinates of all 12 atoms:
Rb (0.016, 0.814, 0.629)
Rb (0.500, 0.750, 0.000)
Ti (0.000, 0.250, 0.000)
As (0.915, 0.587, 0.174)
Rb (0.984, 0.186, 0.371)
As (0.741, 0.913, 0.826)
Rb (0.388, 0.686, 0.371)
Ti (0.000, 0.750, 0.000)
Rb (0.612, 0.314, 0.629)
As (0.259, 0.087, 0.174)
Rb (0.500, 0.250, 0.000)
As (0.085, 0.413, 0.826)

=====

# RbTiAs2

A geometry-optimized RbTiAs2 structure (PBE, Alexandria).

Calculated values
* energy of formation: -0.42 eV per atom
* Fermi-level density of states: 2.65 states/eV/cell
* raw total energy: -4.961 eV per atom
* E above lowest polymorph: 65.3 meV per atom

Cell: 6.232 6.232 8.592 Å, 68.74 68.74 90.00°
Fractional coordinates of all 8 atoms:
As (0.375, 0.625, 0.250)
As (0.375, 0.125, 0.250)
Rb (0.750, 0.250, 0.500)
Ti (0.250, 0.750, 0.500)
Ti (0.500, 0.500, 0.000)
Rb (0.000, 0.000, 0.000)
As (0.375, 0.625, 0.750)
As (0.875, 0.625, 0.750)

=====

# RbTiAs2

A geometry-optimized RbTiAs2 structure (PBE, Alexandria).

Calculated values
* energy of formation: -0.49 eV per atom
* Fermi-level density of states: 1.56 states/eV/cell
* raw total energy: -5.026 eV per atom
* E above lowest polymorph: 0.0 meV per atom

Cell: 3.912 3.912 8.135 Å, 76.09 76.09 60.00°
Fractional coordinates of all 4 atoms:
Ti (0.000, 0.000, 0.000)
As (0.722, 0.722, 0.833)
As (0.278, 0.278, 0.167)
Rb (0.500, 0.500, 0.500)

=====

# Rb2TiAs2

A geometry-optimized Rb2TiAs2 structure (PBE, Alexandria).

Calculated values
* energy of formation: -0.64 eV per atom
* raw total energy: -4.461 eV per atom
* E above lowest polymorph: 0.0 meV per atom

Cell: 6.620 8.615 8.615 Å, 51.95 67.41 67.41°
Fractional coordinates of all 10 atoms:
Rb (0.848, 0.000, 0.304)
Ti (0.250, 0.500, 0.500)
Rb (0.152, 0.000, 0.696)
As (0.905, 0.421, 0.769)
As (0.595, 0.231, 0.579)
Rb (0.348, 0.304, 0.000)
Rb (0.652, 0.696, 0.000)
Ti (0.750, 0.500, 0.500)
As (0.405, 0.769, 0.421)
As (0.095, 0.579, 0.231)

=====

# RbTl3As3

A geometry-optimized RbTl3As3 structure (PBE, Alexandria).

Calculated values
* energy of formation: 0.00 eV per atom
* Fermi-level density of states: 4.01 states/eV/cell
* raw total energy: -3.148 eV per atom
* E above lowest polymorph: 75.8 meV per atom

Cell: 7.948 7.948 7.948 Å, 90.00 90.00 90.00°
Fractional coordinates of all 14 atoms:
As (0.500, 0.000, 0.250)
Tl (0.750, 0.000, 0.500)
Rb (0.000, 0.000, 0.000)
As (0.250, 0.500, 0.000)
Rb (0.500, 0.500, 0.500)
As (0.000, 0.250, 0.500)
As (0.500, 0.000, 0.750)
Tl (0.250, 0.000, 0.500)
Tl (0.500, 0.250, 0.000)
Tl (0.000, 0.500, 0.250)
As (0.750, 0.500, 0.000)
Tl (0.500, 0.750, 0.000)
As (0.000, 0.750, 0.500)
Tl (0.000, 0.500, 0.750)

=====

# RbTl6As2

A geometry-optimized RbTl6As2 structure (PBE, Alexandria).

Calculated values
* energy of formation: -0.08 eV per atom
* Fermi-level density of states: 4.38 states/eV/cell
* raw total energy: -2.803 eV per atom

Cell: 5.004 5.004 11.346 Å, 90.00 90.00 90.00°
Fractional coordinates of all 9 atoms:
Tl (0.000, 0.000, 0.500)
As (0.500, 0.500, 0.892)
Tl (0.500, 0.000, 0.273)
As (0.500, 0.500, 0.108)
Tl (0.000, 0.500, 0.727)
Tl (0.000, 0.500, 0.273)
Tl (0.500, 0.500, 0.500)
Tl (0.500, 0.000, 0.727)
Rb (0.000, 0.000, 0.000)

=====

# RbTl2As2

A geometry-optimized RbTl2As2 structure (PBE, Alexandria).

Calculated values
* energy of formation: -0.12 eV per atom
* Fermi-level density of states: 2.57 states/eV/cell
* raw total energy: -3.125 eV per atom
* E above lowest polymorph: 59.4 meV per atom

Cell: 4.324 6.051 6.914 Å, 102.94 108.22 90.00°
Fractional coordinates of all 5 atoms:
Rb (0.000, 0.000, 0.000)
Tl (0.359, 0.440, 0.719)
As (0.726, 0.096, 0.453)
As (0.274, 0.904, 0.547)
Tl (0.641, 0.560, 0.281)

=====

# RbTl4As

A geometry-optimized RbTl4As structure (PBE, Alexandria).

Calculated values
* energy of formation: -0.11 eV per atom
* Fermi-level density of states: 4.05 states/eV/cell
* raw total energy: -2.623 eV per atom

Cell: 4.246 9.034 10.669 Å, 90.00 90.00 90.00°
Fractional coordinates of all 12 atoms:
As (0.000, 0.224, 0.750)
Rb (0.000, 0.618, 0.750)
Tl (0.500, 0.969, 0.750)
As (0.000, 0.776, 0.250)
Tl (0.500, 0.700, 0.057)
Tl (0.500, 0.700, 0.443)
Tl (0.500, 0.300, 0.557)
Rb (0.000, 0.382, 0.250)
Tl (0.000, 0.000, 0.000)
Tl (0.000, 0.000, 0.500)
Tl (0.500, 0.031, 0.250)
Tl (0.500, 0.300, 0.943)

=====

# Rb3Tl5As2

A geometry-optimized Rb3Tl5As2 structure (PBE, Alexandria).

Calculated values
* energy of formation: -0.17 eV per atom
* Fermi-level density of states: 7.40 states/eV/cell
* raw total energy: -2.571 eV per atom

Cell: 7.575 10.735 10.735 Å, 69.16 69.34 69.34°
Fractional coordinates of all 20 atoms:
Tl (0.750, 0.500, 0.500)
As (0.846, 0.278, 0.030)
Tl (0.489, 0.261, 0.261)
Tl (0.250, 0.500, 0.500)
Tl (0.115, 0.537, 0.232)
Tl (0.989, 0.261, 0.261)
Rb (0.645, 0.607, 0.104)
As (0.154, 0.722, 0.970)
Rb (0.250, 0.000, 0.000)
Rb (0.355, 0.393, 0.896)
Tl (0.885, 0.463, 0.768)
Tl (0.615, 0.232, 0.537)
Tl (0.011, 0.739, 0.739)
Tl (0.511, 0.739, 0.739)
Rb (0.750, 0.000, 0.000)
Rb (0.145, 0.104, 0.607)
As (0.346, 0.030, 0.278)
As (0.654, 0.970, 0.722)
Rb (0.855, 0.896, 0.393)
Tl (0.385, 0.768, 0.463)

=====

# RbTl3As

A geometry-optimized RbTl3As structure (PBE, Alexandria).

Calculated values
* energy of formation: 0.97 eV per atom
* Fermi-level density of states: 2.92 states/eV/cell
* raw total energy: -1.570 eV per atom
* E above lowest polymorph: 1103.3 meV per atom

Cell: 6.206 6.206 6.206 Å, 90.00 90.00 90.00°
Fractional coordinates of all 5 atoms:
Tl (0.500, 0.000, 0.000)
As (0.500, 0.500, 0.500)
Tl (0.000, 0.500, 0.000)
Tl (0.000, 0.000, 0.500)
Rb (0.000, 0.000, 0.000)

=====

# Rb5TlAs2

A geometry-optimized Rb5TlAs2 structure (PBE, Alexandria).

Calculated values
* energy of formation: -0.17 eV per atom
* Fermi-level density of states: 6.72 states/eV/cell
* raw total energy: -2.235 eV per atom

Cell: 6.054 6.054 11.349 Å, 74.53 74.53 60.00°
Fractional coordinates of all 8 atoms:
As (0.093, 0.093, 0.720)
Rb (0.219, 0.219, 0.342)
As (0.907, 0.907, 0.280)
Rb (0.500, 0.500, 0.500)
Rb (0.781, 0.781, 0.658)
Rb (0.620, 0.620, 0.141)
Tl (0.000, 0.000, 0.000)
Rb (0.380, 0.380, 0.859)

=====

# RbTl2As2

A geometry-optimized RbTl2As2 structure (PBE, Alexandria).

Calculated values
* energy of formation: -0.18 eV per atom
* Fermi-level density of states: 2.38 states/eV/cell
* raw total energy: -3.184 eV per atom
* E above lowest polymorph: 0.0 meV per atom

Cell: 5.142 5.142 7.064 Å, 68.66 68.66 90.00°
Fractional coordinates of all 5 atoms:
Rb (0.000, 0.000, 0.000)
Tl (0.750, 0.250, 0.500)
Tl (0.250, 0.750, 0.500)
As (0.601, 0.601, 0.798)
As (0.399, 0.399, 0.202)